The following is a DFT calculation (PBE) of a relaxed LaZnPd3 crystal.

Its energy above the most stable polymorph in this dataset is 163 meV per atom. As for the magnetic moment: 0.00 μB/f.u. As for the energy relative to the elements: -0.431 eV/atom. For the raw total energy, the calculation gives -47.9 eV for the cell shown. As for the density of states at the Fermi level: 2.4 states/eV/f.u.

The space group is Pbam (No. 55) and the conventional cell measures 5.8293, 7.6421 and 4.7494 Å, with angles of 90.00, 90.00 and 90.00 degrees. The asymmetric unit holds La at (0.0000, 0.0000, 0.0000), Zn at (0.0000, 0.5000, 0.5000), Pd at (0.0000, 0.5000, 0.0000) and Pd at (0.2258, 0.2363, 0.5000).